[1]
Computed, not measured: CdRuSN2 at its PBEsol-relaxed geometry at the meta-GGA SCAN level of DFT.

Cell: 3.9914 3.9914 5.3856 Å, 90.00 90.00 90.00°
Fractional coordinates of all 5 atoms:
Cd  0.0000  0.0000  0.0000
N  0.5000  0.0000  0.0000
N  0.0000  0.5000  0.0000
S  0.0000  0.0000  0.5000
Ru  0.5000  0.5000  0.5000

Total energy, eV per cell: -82.80


[2]
Computed, not measured: Ca2Pt2Pb at its PBEsol-relaxed geometry at the meta-GGA SCAN level of DFT.

Cell: 3.7050 3.7050 9.3097 Å, 101.48 101.48 90.00°
Fractional coordinates of all 5 atoms:
Pt  0.2500  0.7500  0.5000
Pt  0.7500  0.2500  0.5000
Ca  0.3768  0.3768  0.7536
Ca  0.6232  0.6232  0.2464
Pb  0.0000  0.0000  0.0000

ΔH_f (0 K), eV per formula unit: -3.64


[3]
Computed, not measured: MnCd2In at its PBEsol-relaxed geometry at the meta-GGA SCAN level of DFT.

Cell: 2.9985 2.9985 8.6992 Å, 90.00 90.00 90.00°
Fractional coordinates of all 4 atoms:
Mn  0.5000  0.5000  0.5000
Cd  0.0000  0.0000  0.2845
Cd  0.0000  0.0000  0.7155
In  0.5000  0.5000  0.0000

ΔH_f (0 K), eV per formula unit: 0.17